*one*
## Al2Zn2Ag7 (PBE)

Data for a geometry-optimized Al2Zn2Ag7 structure.

Properties
D(E_F) = 2.31 states/eV/f.u.

Lattice parameters (Å, degrees): 4.4309 11.6971 7.2463 90.00 90.00 90.00
Space group Imm2 (No. 44)
Inequivalent atoms, fractional coordinates:
Al1 0.0000 0.2098 0.0000
Zn1 0.0000 0.0000 0.2173
Zn2 0.0000 0.5000 0.0153
Ag1 0.0000 0.0000 0.8488
Ag2 0.0000 0.1385 0.5199
Ag3 0.0000 0.3433 0.2986
Ag4 0.0000 0.3616 0.7056

*two*
## Al2Zn2Ag7 (PBE)

Data for a geometry-optimized Al2Zn2Ag7 structure.

Properties
D(E_F) = 2.48 states/eV/f.u.

Lattice parameters (Å, degrees): 8.8201 9.4877 5.1374 90.00 115.05 90.00
Space group C2/m (No. 12)
Inequivalent atoms, fractional coordinates:
Al1 0.2392 0.0000 0.4574
Zn1 0.0000 0.3358 0.5000
Ag1 0.0000 0.5000 0.0000
Ag2 0.0962 0.0000 0.8235
Ag3 0.1766 0.2487 0.1940

According to the calculations, the structures order from most to least stable as *one*, *two*.

*one*
## Al4Zn5Ag (PBE)

Data for a geometry-optimized Al4Zn5Ag structure.

Properties
D(E_F) = 2.95 states/eV/f.u.

Lattice parameters (Å, degrees): 14.5782 2.8663 7.9098 90.00 104.31 90.00
Space group C2/m (No. 12)
Inequivalent atoms, fractional coordinates:
Al1 0.0984 0.0000 0.3056
Al2 0.2001 0.5000 0.1007
Zn1 0.0000 0.5000 0.5000
Zn2 0.1009 0.0000 0.7937
Zn3 0.2007 0.5000 0.5993
Ag1 0.0000 0.5000 0.0000

*two*
## Al4Zn5Ag (PBE)

Data for a geometry-optimized Al4Zn5Ag structure.

Properties
D(E_F) = 2.99 states/eV/f.u.

Lattice parameters (Å, degrees): 13.4970 3.9575 8.0192 90.00 122.76 90.00
Space group C2/m (No. 12)
Inequivalent atoms, fractional coordinates:
Al1 0.0234 0.0000 0.2766
Al2 0.1581 0.5000 0.9011
Zn1 0.0000 0.5000 0.5000
Zn2 0.1680 0.0000 0.6663
Zn3 0.1740 0.0000 0.1716
Ag1 0.0000 0.5000 0.0000

According to the calculations, the structures order from most to least stable as *one*, *two*.

*one*
## Al6Zn2Ag (PBE)

Data for a geometry-optimized Al6Zn2Ag structure.

Properties
D(E_F) = 2.02 states/eV/f.u.

Lattice parameters (Å, degrees): 10.1425 10.9956 5.6045 90.00 100.26 90.00
Space group C2/c (No. 15)
Inequivalent atoms, fractional coordinates:
Al1 0.0311 0.2161 0.0024
Al2 0.1722 0.3954 0.7511
Al3 0.2499 0.1625 0.7201
Zn1 0.1137 0.0119 0.4141
Ag1 0.0000 0.4246 0.2500

*two*
## Al6Zn2Ag (PBE)

Data for a geometry-optimized Al6Zn2Ag structure.

Properties
D(E_F) = 5.22 states/eV/f.u.

Lattice parameters (Å, degrees): 5.6993 5.6993 17.9436 90.00 90.00 120.00
Space group R3m (No. 160, hexagonal axes)
Inequivalent atoms, fractional coordinates:
Al1 0.1755 0.3511 0.0000
Al2 0.1756 0.3511 0.2114
Zn1 0.0000 0.0000 0.7198
Zn2 0.0000 0.0000 0.8734
Ag1 0.0000 0.0000 0.1043

According to the calculations, the structures order from most to least stable as *one*, *two*.

*one*
## AlZnAg (PBE)

Data for a geometry-optimized AlZnAg structure.

Properties
D(E_F) = 1.21 states/eV/f.u.

Lattice parameters (Å, degrees): 3.1234 4.7914 13.3103 90.00 90.00 90.00
Space group Fmm2 (No. 42)
Inequivalent atoms, fractional coordinates:
Al1 0.0000 0.0000 0.0000
Zn1 0.0000 0.0000 0.6614
Ag1 0.0000 0.0000 0.3302

*two*
## AlZnAg (PBE)

Data for a geometry-optimized AlZnAg structure.

Properties
D(E_F) = 0.72 states/eV/f.u.

Lattice parameters (Å, degrees): 3.1176 3.8005 8.2543 90.00 90.00 90.00
Space group Imm2 (No. 44)
Inequivalent atoms, fractional coordinates:
Al1 0.0000 0.0000 0.0000
Zn1 0.0000 0.0000 0.6656
Ag1 0.0000 0.0000 0.3335

*three*
## AlZnAg (PBE)

Data for a geometry-optimized AlZnAg structure.

Properties
D(E_F) = 1.26 states/eV/f.u.

Lattice parameters (Å, degrees): 2.8615 2.8615 12.0207 90.00 90.00 90.00
Space group I4mm (No. 107)
Inequivalent atoms, fractional coordinates:
Al1 0.0000 0.0000 0.0000
Zn1 0.0000 0.0000 0.3407
Ag1 0.0000 0.0000 0.6692

*four*
## AlZnAg (PBE)

Data for a geometry-optimized AlZnAg structure.

Properties
D(E_F) = 2.85 states/eV/f.u.

Lattice parameters (Å, degrees): 6.1016 6.1016 6.1016 90.00 90.00 90.00
Space group F-43m (No. 216)
Inequivalent atoms, fractional coordinates:
Al1 0.0000 0.0000 0.0000
Zn1 0.0000 0.0000 0.5000
Ag1 0.2500 0.2500 0.7500

According to the calculations, the structures order from most to least stable as *two*, *three*, *one*, *four*.

*one*
## AlZnAg (PBE)

Data for a geometry-optimized AlZnAg structure.

Properties
D(E_F) = 0.58 states/eV/f.u.

Lattice parameters (Å, degrees): 2.9040 2.9204 13.1774 89.12 89.21 61.92
Space group P1 (No. 1)
Inequivalent atoms, fractional coordinates:
Al1 0.0000 0.0000 0.0000
Al2 0.3298 0.3271 0.8316
Zn1 0.0071 0.0102 0.4964
Zn2 0.6764 0.6807 0.3381
Ag1 0.3406 0.3452 0.1679
Ag2 0.6619 0.6639 0.6644

*two*
## AlZnAg (PBE)

Data for a geometry-optimized AlZnAg structure.

Properties
D(E_F) = 2.18 states/eV/f.u.

Lattice parameters (Å, degrees): 6.0976 6.0976 6.0976 90.00 90.00 90.00
Space group F-43m (No. 216)
Inequivalent atoms, fractional coordinates:
Al1 0.0000 0.0000 0.0000
Zn1 0.2500 0.2500 0.7500
Ag1 0.2500 0.2500 0.2500

*three*
## AlZnAg (PBE)

Data for a geometry-optimized AlZnAg structure.

Properties
D(E_F) = 0.73 states/eV/f.u.

Lattice parameters (Å, degrees): 13.1719 2.7728 5.9214 90.00 111.38 90.00
Space group C2/m (No. 12)
Inequivalent atoms, fractional coordinates:
Al1 0.0047 0.0000 0.2515
Zn1 0.1642 0.5000 0.5912
Ag1 0.1628 0.5000 0.0861

*four*
## AlZnAg (PBE)

Data for a geometry-optimized AlZnAg structure.

Properties
D(E_F) = 0.70 states/eV/f.u.

Lattice parameters (Å, degrees): 2.9539 2.9539 6.5501 90.00 90.00 120.00
Space group P3m1 (No. 156)
Inequivalent atoms, fractional coordinates:
Al1 0.0000 0.0000 0.0000
Zn1 0.6667 0.3333 0.3264
Ag1 0.3333 0.6667 0.6644

According to the calculations, the structures order from most to least stable as *four*, *one*, *three*, *two*.

*one*
## Al2ZnAg4 (PBE)

Data for a geometry-optimized Al2ZnAg4 structure.

Properties
D(E_F) = 2.63 states/eV/f.u.

Lattice parameters (Å, degrees): 12.6745 12.6745 12.6745 90.00 90.00 90.00
Space group Fd-3m (No. 227, origin choice 2)
Inequivalent atoms, fractional coordinates:
Al1 0.0116 0.0116 0.2384
Zn1 0.0000 0.0000 0.5000
Ag1 0.0000 0.0000 0.0000
Ag2 0.1141 0.3750 0.8750

*two*
## Al2ZnAg4 (PBE)

Data for a geometry-optimized Al2ZnAg4 structure.

Properties
D(E_F) = 0.96 states/eV/f.u.

Lattice parameters (Å, degrees): 4.4599 4.4599 21.5690 90.00 90.00 120.00
Space group R-3m (No. 166, hexagonal axes)
Inequivalent atoms, fractional coordinates:
Al1 0.0000 0.0000 0.2503
Zn1 0.0000 0.0000 0.0000
Ag1 0.0000 0.0000 0.1283
Ag2 0.0000 0.0000 0.3800

According to the calculations, the structures order from most to least stable as *two*, *one*.

*one*
## AlZn4Ag (PBE)

Data for a geometry-optimized AlZn4Ag structure.

Properties
D(E_F) = 1.22 states/eV/f.u.

Lattice parameters (Å, degrees): 5.7164 14.7350 4.7688 90.00 104.11 90.00
Space group C2/c (No. 15)
Inequivalent atoms, fractional coordinates:
Al1 0.0000 0.1252 0.2500
Zn1 0.2445 0.0383 0.7516
Zn2 0.2490 0.2881 0.2519
Ag1 0.0000 0.3747 0.7500

*two*
## AlZn4Ag (PBE)

Data for a geometry-optimized AlZn4Ag structure.

Properties
D(E_F) = 2.05 states/eV/f.u.

Lattice parameters (Å, degrees): 7.2592 7.2592 7.2592 90.00 90.00 90.00
Space group F-43m (No. 216)
Inequivalent atoms, fractional coordinates:
Al1 0.0000 0.0000 0.0000
Zn1 0.1248 0.1248 0.3752
Ag1 0.2500 0.2500 0.7500

*three*
## AlZn4Ag (PBE)

Data for a geometry-optimized AlZn4Ag structure.

Properties
D(E_F) = 1.29 states/eV/f.u.

Lattice parameters (Å, degrees): 8.7287 4.8803 9.2497 90.00 106.02 90.00
Space group C2/c (No. 15)
Inequivalent atoms, fractional coordinates:
Al1 0.2500 0.2500 0.0000
Zn1 0.0854 0.2404 0.4994
Zn2 0.1680 0.0776 0.2500
Ag1 0.0000 0.4253 0.7500

According to the calculations, the structures order from most to least stable as *three*, *one*, *two*.

*one*
## Al3ZnAg (PBE)

Data for a geometry-optimized Al3ZnAg structure.

Properties
D(E_F) = 2.40 states/eV/f.u.

Lattice parameters (Å, degrees): 4.7432 4.7432 4.7432 90.00 90.00 90.00
Space group Pm-3m (No. 221)
Inequivalent atoms, fractional coordinates:
Al1 0.0000 0.0000 0.5000
Zn1 0.0000 0.0000 0.0000
Ag1 0.5000 0.5000 0.5000

*two*
## Al3ZnAg (PBE)

Data for a geometry-optimized Al3ZnAg structure.

Properties
D(E_F) = 2.80 states/eV/f.u.

Lattice parameters (Å, degrees): 4.8806 4.8806 4.8806 90.00 90.00 90.00
Space group Pm-3m (No. 221)
Inequivalent atoms, fractional coordinates:
Al1 0.0000 0.0000 0.5000
Zn1 0.5000 0.5000 0.5000
Ag1 0.0000 0.0000 0.0000

According to the calculations, the structures order from most to least stable as *two*, *one*.